# 1
Computed, not measured: crystalline CdAs2C at its relaxed geometry at the PBE-GGA level of DFT.

Computed properties:
The energy above the most stable polymorph in this dataset comes out at 0 meV per atom. As for the density of states at the Fermi level: 0.0 states/eV/f.u. Its symmetry is I-42d. The value obtained for the density is 6.0 g/cm³. The value obtained for the total energy is -4.272 eV/atom.

Structure (extended XYZ):
```
8
Lattice="-2.745 2.818 4.265 -4.830 -3.014 -1.117 -2.478 -3.291 4.526" Properties=species:S:1:pos:R:3 pbc="T T T"
As -2.699 0.315 3.284
As -4.221 -2.108 1.339
As -5.122 -2.805 4.477
As -8.064 -2.376 6.246
C -3.788 -0.098 1.574
C -5.548 -3.201 2.491
Cd 0.000 0.000 0.000
Cd -4.505 -0.285 5.182
```



# 2
Computed, not measured: crystalline CdAsC2 at its relaxed geometry at the PBE-GGA level of DFT.

Computed properties:
The energy above the most stable polymorph in this dataset comes out at 1100 meV per atom. As for the density of states at the Fermi level: 1.8 states/eV/f.u. Its symmetry is Fm-3m. The value obtained for the density is 6.7 g/cm³. The value obtained for the total energy is -3.690 eV/atom.

Structure (extended XYZ):
```
4
Lattice="-0.639 -0.301 4.141 -2.785 2.519 1.884 -3.610 -1.579 1.459" Properties=species:S:1:pos:R:3 pbc="T T T"
As 0.000 0.000 0.000
C -1.759 0.159 1.871
C -5.276 0.478 5.613
Cd -3.517 0.319 3.742
```



# 3
Computed, not measured: crystalline Cd2AsC at its relaxed geometry at the PBE-GGA level of DFT.

Computed properties:
The energy above the most stable polymorph in this dataset comes out at 223 meV per atom. As for the density of states at the Fermi level: 2.2 states/eV/f.u. Its symmetry is Fm-3m. The value obtained for the density is 7.2 g/cm³. The value obtained for the total energy is -2.575 eV/atom.

Structure (extended XYZ):
```
4
Lattice="-4.203 0.440 2.002 -3.312 2.579 -2.060 -3.729 -2.076 -1.911" Properties=species:S:1:pos:R:3 pbc="T T T"
As -5.622 0.472 -0.985
C 0.000 0.000 0.000
Cd -2.811 0.236 -0.492
Cd -8.433 0.707 -1.477
```